(1)
The following is a PBEsol calculation of a geometry-optimized BaCaCu structure, from Alexandria.

Cell lengths 4.3143, 4.3143, 6.9443 Å; angles 90.00, 90.00, 120.00 degrees
Space group P3m1 (No. 156)
Symmetry-distinct sites (fractional):
Ba: 0.0000 0.0000 0.0000 x1
Ca: 0.3333 0.6667 0.4851 x1
Cu: 0.6667 0.3333 0.2737 x1

**Energy of formation**: 0.123 eV per atom


(2)
The following is a PBEsol calculation of a geometry-optimized BaCa3Cu structure, from Alexandria.

Cell lengths 5.649, 5.649, 5.649 Å; angles 90.00, 90.00, 90.00 degrees
Space group Pm-3m (No. 221)
Symmetry-distinct sites (fractional):
Ba: 0.000 0.000 0.000 x1
Ca: 0.000 0.000 0.500 x3
Cu: 0.500 0.500 0.500 x1

**Energy of formation**: 1.340 eV per atom
**ΔE to the lowest computed polymorph**: 6.658 eV/f.u.


(3)
The following is a PBEsol calculation of a geometry-optimized BaCa3Cu structure, from Alexandria.

Cell lengths 5.734, 5.734, 5.734 Å; angles 90.00, 90.00, 90.00 degrees
Space group Pm-3m (No. 221)
Symmetry-distinct sites (fractional):
Ba: 0.000 0.000 0.000 x1
Ca: 0.000 0.500 0.500 x3
Cu: 0.500 0.500 0.500 x1

**Energy of formation**: 0.008 eV per atom
**ΔE to the lowest computed polymorph**: 0.000 eV/f.u.


(4)
The following is a PBEsol calculation of a geometry-optimized BaCa2Cu structure, from Alexandria.

Cell lengths 8.049, 8.049, 8.049 Å; angles 90.00, 90.00, 90.00 degrees
Space group F-43m (No. 216)
Symmetry-distinct sites (fractional):
Ba: 0.000 0.000 0.000 x4
Ca: 0.000 0.000 0.500 x4
Ca: 0.250 0.250 0.250 x4
Cu: 0.250 0.250 0.750 x4

**Energy of formation**: 0.276 eV per atom


(5)
The following is a PBEsol calculation of a geometry-optimized Ba2CaCu3F14 structure, from Alexandria.

Cell lengths 13.513, 5.277, 14.591 Å; angles 90.00, 91.91, 90.00 degrees
Space group C2/c (No. 15)
Symmetry-distinct sites (fractional):
Ba: 0.197 0.045 0.119 x8
Ca: 0.000 0.426 0.750 x4
Cu: 0.000 0.500 0.000 x4
Cu: 0.117 0.012 0.377 x8
F: 0.014 0.063 0.660 x8
F: 0.059 0.441 0.116 x8
F: 0.081 0.200 0.485 x8
F: 0.116 0.292 0.953 x8
F: 0.130 0.300 0.298 x8
F: 0.161 0.205 0.778 x8
F: 0.248 0.051 0.421 x8

**Uncorrected formation energy**: -2588 meV per atom


(6)
The following is a PBEsol calculation of a geometry-optimized BaCaCuF7 structure, from Alexandria.

Cell lengths 5.473, 10.827, 9.333 Å; angles 90.00, 92.12, 90.00 degrees
Space group P2_1/c (No. 14)
Symmetry-distinct sites (fractional):
Ba: 0.233 0.153 0.480 x4
Ca: 0.227 0.576 0.361 x4
Cu: 0.308 0.655 0.697 x4
F: 0.028 0.733 0.775 x4
F: 0.110 0.526 0.144 x4
F: 0.143 0.519 0.607 x4
F: 0.225 0.741 0.526 x4
F: 0.404 0.554 0.853 x4
F: 0.413 0.106 0.909 x4
F: 0.494 0.212 0.228 x4

**Uncorrected formation energy**: -2911 meV per atom


(7)
The following is a PBEsol calculation of a geometry-optimized Ba2Ca2Cu3HgO8 structure, from Alexandria.

Cell lengths 3.835, 3.835, 15.924 Å; angles 90.00, 90.00, 90.00 degrees
Space group P4/mmm (No. 123)
Symmetry-distinct sites (fractional):
Ba: 0.000 0.000 0.183 x2
Ca: 0.000 0.000 0.401 x2
Cu: 0.500 0.500 0.309 x2
Cu: 0.500 0.500 0.500 x1
Hg: 0.500 0.500 0.000 x1
O: 0.000 0.500 0.304 x4
O: 0.000 0.500 0.500 x2
O: 0.500 0.500 0.125 x2

**Uncorrected formation energy**: -1726 meV per atom


(8)
The following is a PBEsol calculation of a geometry-optimized Ba2Ca3Cu4HgO10 structure, from Alexandria.

Cell lengths 3.831, 3.831, 19.076 Å; angles 90.00, 90.00, 90.00 degrees
Space group P4/mmm (No. 123)
Symmetry-distinct sites (fractional):
Ba: 0.000 0.000 0.153 x2
Ca: 0.000 0.000 0.335 x2
Ca: 0.000 0.000 0.500 x1
Cu: 0.500 0.500 0.258 x2
Cu: 0.500 0.500 0.417 x2
Hg: 0.500 0.500 0.000 x1
O: 0.000 0.500 0.254 x4
O: 0.000 0.500 0.418 x4
O: 0.500 0.500 0.104 x2

**Uncorrected formation energy**: -1746 meV per atom


(9)
The following is a PBEsol calculation of a geometry-optimized Ba2CaCuI structure, from Alexandria.

Cell lengths 6.738, 6.738, 4.813 Å; angles 90.00, 90.00, 90.00 degrees
Space group P4/mmm (No. 123)
Symmetry-distinct sites (fractional):
Ba: 0.000 0.500 0.000 x2
Ca: 0.000 0.000 0.000 x1
Cu: 0.000 0.000 0.500 x1
I: 0.500 0.500 0.500 x1

**Uncorrected formation energy**: 189 meV per atom


(10)
The following is a PBEsol calculation of a geometry-optimized Ba3CaLa2Cu6O13 structure, from Alexandria.

Cell lengths 7.657, 7.755, 11.695 Å; angles 90.00, 90.90, 90.00 degrees
Space group Cm (No. 8)
Symmetry-distinct sites (fractional):
Ba: 0.000 0.000 0.000 x2
Ba: 0.005 0.500 0.624 x2
Ba: 0.013 0.000 0.623 x2
Ca: 0.003 0.500 0.319 x2
La: 0.002 0.000 0.312 x2
La: 0.499 0.000 0.025 x2
Cu: 0.247 0.251 0.170 x4
Cu: 0.253 0.238 0.821 x4
Cu: 0.256 0.251 0.455 x4
O: 0.006 0.250 0.443 x4
O: 0.214 0.290 0.970 x4
O: 0.241 0.500 0.182 x2
O: 0.255 0.000 0.172 x2
O: 0.256 0.000 0.445 x2
O: 0.256 0.500 0.446 x2
O: 0.265 0.259 0.668 x4
O: 0.290 0.000 0.851 x2
O: 0.497 0.244 0.174 x4

**Uncorrected formation energy**: -1867 meV per atom


(11)
The following is a PBEsol calculation of a geometry-optimized Ba2Ca2NdTi2Cu2O12 structure, from Alexandria.

Cell lengths 3.893, 3.893, 34.885 Å; angles 90.00, 90.00, 90.00 degrees
Space group I4/mmm (No. 139)
Symmetry-distinct sites (fractional):
Ba: 0.000 0.000 0.107 x4
Ca: 0.000 0.000 0.213 x4
Nd: 0.000 0.000 0.000 x2
Ti: 0.000 0.000 0.332 x4
Cu: 0.000 0.000 0.448 x4
O: 0.000 0.000 0.277 x4
O: 0.000 0.000 0.390 x4
O: 0.000 0.500 0.043 x8
O: 0.000 0.500 0.168 x8

**Uncorrected formation energy**: -2575 meV per atom


(12)
The following is a PBEsol calculation of a geometry-optimized Ba2CaSm2Ti3Cu2O14 structure, from Alexandria.

Cell lengths 3.836, 3.836, 20.378 Å; angles 90.00, 90.00, 90.00 degrees
Space group P4/mmm (No. 123)
Symmetry-distinct sites (fractional):
Ba: 0.000 0.000 0.170 x2
Ca: 0.000 0.000 0.000 x1
Sm: 0.000 0.000 0.397 x2
Ti: 0.500 0.500 0.301 x2
Ti: 0.500 0.500 0.500 x1
Cu: 0.500 0.500 0.072 x2
O: 0.000 0.500 0.076 x4
O: 0.000 0.500 0.321 x4
O: 0.000 0.500 0.500 x2
O: 0.500 0.500 0.214 x2
O: 0.500 0.500 0.407 x2

**Uncorrected formation energy**: -2747 meV per atom


| no. | theoretical density (Mg/m³) | total magnetization (μB/f.u.) |
| --- | --- | --- |
| 1 | 3.6 | 0.00 |
| 2 | 3.0 | 0.00 |
| 3 | 2.8 | 0.00 |
| 4 | 3.6 | 0.00 |
| 5 | 4.9 | 5.02 |
| 6 | 4.5 | 1.99 |
| 7 | 6.2 | 0.00 |
| 8 | 6.0 | 0.00 |
| 9 | 3.8 | 0.01 |
| 10 | 6.3 | 0.00 |
| 11 | 5.7 | 0.02 |
| 12 | 6.1 | 0.00 |